Arrangement one

DFT (PBEsol) results for crystalline TcHgBr2 at its relaxed geometry.

Summary:
Its density of states at the Fermi level is 4.53 states/eV per cell. The value obtained for the total moment is 3.0 Bohr magnetons per cell. The value obtained for the calculated density is 7665 kg/m³.

Geometry as CIF:
```
data_TcHgBr2
_chemical_formula_sum 'Tc3 Hg3 Br6'
_space_group_name_H-M_alt 'R -3 m'
_space_group_IT_number 166
_space_group_name_Hall '-R 3 2"'
_cell_length_a 3.5029
_cell_length_b 3.5029
_cell_length_c 28.0367
_cell_angle_alpha 90.00
_cell_angle_beta 90.00
_cell_angle_gamma 120.00
loop_
_atom_site_label
_atom_site_type_symbol
_atom_site_fract_x
_atom_site_fract_y
_atom_site_fract_z
Tc1 Tc 0.0000 0.0000 0.0000
Hg1 Hg 0.0000 0.0000 0.5000
Br1 Br 0.0000 0.0000 0.2786
```

---

Arrangement two

DFT (PBEsol) results for crystalline TcHgBr2 at its relaxed geometry.

Summary:
Its density of states at the Fermi level is 9.08 states/eV per cell. The value obtained for the total moment is 0.0 Bohr magnetons per cell. The value obtained for the calculated density is 8870 kg/m³.

Geometry as CIF:
```
data_TcHgBr2
_chemical_formula_sum 'Tc3 Hg3 Br6'
_space_group_name_H-M_alt 'R 3 m'
_space_group_IT_number 160
_space_group_name_Hall 'R 3 -2"'
_cell_length_a 3.4300
_cell_length_b 3.4300
_cell_length_c 25.2689
_cell_angle_alpha 90.00
_cell_angle_beta 90.00
_cell_angle_gamma 120.00
loop_
_atom_site_label
_atom_site_type_symbol
_atom_site_fract_x
_atom_site_fract_y
_atom_site_fract_z
Tc1 Tc 0.0000 0.0000 0.0000
Hg1 Hg 0.0000 0.0000 0.2523
Br1 Br 0.0000 0.0000 0.5048
Br2 Br 0.0000 0.0000 0.7236
```

---

Of the structures shown above, arrangement two is the least stable.